Record 1
## AcPa2O6 (PBE-GGA)

Data for a relaxed structure of AcPa2O6.

Cell lengths 3.9684, 3.9684, 9.6743 Å; angles 90.00, 90.00, 120.00 degrees
Element x y z (fractional)
Ac 0.0000 0.0000 0.0000
Pa 0.3333 0.6667 0.6608
Pa 0.6667 0.3333 0.3392
O 0.0000 0.0000 0.2786
O 0.0000 0.0000 0.7214
O 0.3333 0.6667 0.4226
O 0.3333 0.6667 0.8881
O 0.6667 0.3333 0.1119
O 0.6667 0.3333 0.5774

Computed properties:
V: 14.7 A^3/atom
raw total energy: -85.478 eV/cell
formation energy from raw total energies: -349.80 kJ per mole of atoms

---

Record 2
## Ac4PaO10 (PBE-GGA)

Data for a relaxed structure of Ac4PaO10.

Cell lengths 7.1489, 7.1489, 7.1489 Å; angles 99.54, 99.54, 131.95 degrees
Element x y z (fractional)
Ac 0.1004 0.7020 0.8024
Ac 0.2980 0.1004 0.3984
Ac 0.7020 0.8996 0.6016
Ac 0.8996 0.2980 0.1976
Pa 0.5000 0.5000 0.0000
O 0.0862 0.3636 0.9099
O 0.1763 0.0862 0.7226
O 0.2500 0.7500 0.5000
O 0.3636 0.4537 0.2774
O 0.4537 0.1763 0.0901
O 0.5463 0.8237 0.9099
O 0.6364 0.5463 0.7226
O 0.7500 0.2500 0.5000
O 0.8237 0.9138 0.2774
O 0.9138 0.6364 0.0901

Computed properties:
V: 16.5 A^3/atom
raw total energy: -121.188 eV/cell
formation energy from raw total energies: -293.80 kJ per mole of atoms

---

Record 3
## Ac3PaO7 (PBE-GGA)

Data for a relaxed structure of Ac3PaO7.

Cell lengths 7.1208, 7.1208, 8.3033 Å; angles 90.00, 90.00, 109.97 degrees
Element x y z (fractional)
Ac 0.0000 0.0000 0.0000
Ac 0.0000 0.0000 0.5000
Ac 0.0286 0.5012 0.7500
Ac 0.4988 0.9714 0.7500
Ac 0.5012 0.0286 0.2500
Ac 0.9714 0.4988 0.2500
Pa 0.5000 0.5000 0.0000
Pa 0.5000 0.5000 0.5000
O 0.1295 0.8705 0.2500
O 0.1340 0.8660 0.7500
O 0.1794 0.4229 0.0269
O 0.1794 0.4229 0.4731
O 0.4229 0.1794 0.5269
O 0.4229 0.1794 0.9731
O 0.4256 0.5744 0.7500
O 0.5744 0.4256 0.2500
O 0.5771 0.8206 0.0269
O 0.5771 0.8206 0.4731
O 0.8206 0.5771 0.5269
O 0.8206 0.5771 0.9731
O 0.8660 0.1340 0.2500
O 0.8705 0.1295 0.7500

Computed properties:
V: 18.0 A^3/atom
raw total energy: -191.239 eV/cell
formation energy from raw total energies: -342.88 kJ per mole of atoms